{"formula": "Mg3Ir", "functional": "GGA-PBE", "state": "relaxed", "magnetic_moment_mub_per_cell": 0.00, "dft_energy_ev_per_atom": -3.73, "delta_e_f_ev_per_fu": -1.28, "lattice_angstrom": [[-0.0391, -1.7537, -7.3071], [-6.1873, -5.0974, 1.2564], [-3.2889, 3.7732, -0.8880]], "species": ["Ir", "Ir", "Ir", "Ir", "Mg", "Mg", "Mg", "Mg", "Mg", "Mg", "Mg", "Mg", "Mg", "Mg", "Mg", "Mg"], "fractional_positions": [[0.1323, 0.7500, 0.5687], [0.3677, 0.2500, 0.0687], [0.6323, 0.7500, 0.9313], [0.8677, 0.2500, 0.4313], [0.0217, 0.2500, 0.9186], [0.1697, 0.0651, 0.4033], [0.1697, 0.4349, 0.4033], [0.3303, 0.5651, 0.9033], [0.3303, 0.9349, 0.9033], [0.4783, 0.7500, 0.4186], [0.5217, 0.2500, 0.5814], [0.6697, 0.0651, 0.0967], [0.6697, 0.4349, 0.0967], [0.8303, 0.5651, 0.5967], [0.8303, 0.9349, 0.5967], [0.9783, 0.7500, 0.0814]]}


{"formula": "Mg17Ir12", "functional": "GGA-PBE", "state": "relaxed", "magnetic_moment_mub_per_cell": 0.00, "dft_energy_ev_per_atom": -4.94, "delta_e_f_ev_per_fu": -9.83, "lattice_angstrom": [[8.5902, 0.0000, 0.0000], [-2.8634, 8.0989, 0.0000], [-2.8634, -4.0495, 7.0139]], "species": ["Ir", "Ir", "Ir", "Ir", "Ir", "Ir", "Ir", "Ir", "Ir", "Ir", "Ir", "Ir", "Mg", "Mg", "Mg", "Mg", "Mg", "Mg", "Mg", "Mg", "Mg", "Mg", "Mg", "Mg", "Mg", "Mg", "Mg", "Mg", "Mg"], "fractional_positions": [[0.1888, 0.8192, 0.1888], [0.3695, 0.1808, 0.3695], [0.8112, 0.0000, 0.6305], [0.6305, 0.0000, 0.8112], [0.8112, 0.6305, 0.0000], [0.6305, 0.8112, 0.0000], [0.3695, 0.3695, 0.1808], [0.1888, 0.1888, 0.8192], [0.0000, 0.6305, 0.8112], [0.0000, 0.8112, 0.6305], [0.8192, 0.1888, 0.1888], [0.1808, 0.3695, 0.3695], [0.6829, 0.2829, 0.6829], [0.4000, 0.7171, 0.4000], [0.3171, 0.0000, 0.6000], [0.6000, 0.0000, 0.3171], [0.3171, 0.6000, 0.0000], [0.6000, 0.3171, 0.0000], [0.4000, 0.4000, 0.7171], [0.6829, 0.6829, 0.2829], [0.0000, 0.6000, 0.3171], [0.0000, 0.3171, 0.6000], [0.2829, 0.6829, 0.6829], [0.7171, 0.4000, 0.4000], [0.0000, 0.3523, 0.0000], [0.6477, 0.6477, 0.6477], [0.0000, 0.0000, 0.3523], [0.3523, 0.0000, 0.0000], [0.0000, 0.0000, 0.0000]]}


{"formula": "MgIr3", "functional": "GGA-PBE", "state": "relaxed", "magnetic_moment_mub_per_cell": 0.00, "dft_energy_ev_per_atom": -7.14, "delta_e_f_ev_per_fu": -0.40, "lattice_angstrom": [[4.4922, 0.0000, 0.0000], [0.0000, 4.7566, 0.0000], [0.0000, 0.0000, 5.5566]], "species": ["Mg", "Mg", "Ir", "Ir", "Ir", "Ir", "Ir", "Ir"], "fractional_positions": [[0.0000, 0.3432, 0.0000], [0.5000, 0.6568, 0.5000], [0.5000, 0.6649, 0.0000], [0.0000, 0.8402, 0.2532], [0.5000, 0.1598, 0.2468], [0.0000, 0.3351, 0.5000], [0.0000, 0.8402, 0.7468], [0.5000, 0.1598, 0.7532]]}